First-principles (PBE-GGA) data for a geometry-optimized Sr2ZnGe2S6O structure, as listed in the Open Quantum Materials Database.

Summary:
Total energy, eV/atom: -4.90
Density, g/cm3: 3.52
Calculated volume, Å³/atom: 23.4

Unit cell a=9.495 b=9.495 c=6.222 alpha=90.00 beta=90.00 gamma=90.00
Element x y z (fractional)
Sr: 0.158 0.342 0.000
Sr: 0.342 0.842 0.000
Sr: 0.658 0.158 0.000
Sr: 0.842 0.658 0.000
Zn: 0.000 0.000 0.500
Zn: 0.500 0.500 0.500
Ge: 0.127 0.627 0.424
Ge: 0.373 0.127 0.576
Ge: 0.627 0.873 0.576
Ge: 0.873 0.373 0.424
S: 0.063 0.825 0.254
S: 0.135 0.635 0.772
S: 0.175 0.063 0.746
S: 0.325 0.563 0.254
S: 0.365 0.135 0.228
S: 0.437 0.325 0.746
S: 0.563 0.675 0.746
S: 0.635 0.865 0.228
S: 0.675 0.437 0.254
S: 0.825 0.937 0.746
S: 0.865 0.365 0.772
S: 0.937 0.175 0.254
O: 0.000 0.500 0.302
O: 0.500 0.000 0.698

=====

First-principles (PBE-GGA) data for a geometry-optimized Al2CdFe structure, as listed in the Open Quantum Materials Database.

Summary:
Total energy, eV/atom: -3.88
Density, g/cm3: 5.95
Total magnetization, μB per atom: 0.365
Calculated volume, Å³/atom: 15.5

Unit cell a=4.443 b=4.443 c=4.443 alpha=60.00 beta=60.00 gamma=60.00
Element x y z (fractional)
Al: 0.000 0.000 0.000
Al: 0.250 0.250 0.250
Cd: 0.500 0.500 0.500
Fe: 0.750 0.750 0.750

=====

First-principles (PBE-GGA) data for a geometry-optimized Dy4TlTc structure, as listed in the Open Quantum Materials Database.

Summary:
Total energy, eV/atom: -5.41
Density, g/cm3: 9.44
Total magnetization, μB per atom: 0.001
Calculated volume, Å³/atom: 27.9

Unit cell a=7.779 b=7.779 c=6.244 alpha=99.36 beta=99.36 gamma=112.00
Element x y z (fractional)
Dy: 0.061 0.724 0.953
Dy: 0.199 0.355 0.605
Dy: 0.276 0.939 0.547
Dy: 0.355 0.199 0.105
Dy: 0.645 0.801 0.895
Dy: 0.724 0.061 0.453
Dy: 0.801 0.645 0.395
Dy: 0.939 0.276 0.047
Tl: 0.376 0.624 0.250
Tl: 0.624 0.376 0.750
Tc: 0.000 0.000 0.250
Tc: 0.000 0.000 0.750